3
Lattice="1.790 2.922 3.792 -1.837 -0.553 4.737 2.924 -2.060 3.650" Properties=species:S:1:pos:R:3 comment="PrGdCd GGA-PBE optimized geometry" energy_ev_per_cell=-9.16 ef_ev_per_atom=0.3895 sg="No. 216" relative_energy_kj_per_mol_atoms=0.00 pbc="T T T"
Cd 0.719 0.077 3.045
Pr 2.158 0.232 9.134
Gd 0.000 0.000 0.000